Computed, not measured: a relaxed BaPaIO6 crystal at the PBE level of DFT.

abc: 7.761 7.835 7.866
angles: 119.87 119.56 90.00
Atoms (fractional coordinates):
Ba1 0.927 0.677 0.854
Ba2 0.073 0.323 0.146
Pa1 0.500 0.000 0.500
Pa2 0.000 0.000 0.500
I1 0.500 0.500 0.000
I2 0.500 0.000 0.000
O1 0.437 0.687 0.874
O2 0.840 0.090 0.681
O3 0.821 0.069 0.240
O4 0.418 0.671 0.240
O5 0.418 0.069 0.240
O6 0.821 0.671 0.240
O7 0.563 0.313 0.126
O8 0.160 0.910 0.319
O9 0.179 0.931 0.760
O10 0.582 0.329 0.760
O11 0.582 0.931 0.760
O12 0.179 0.329 0.760

## Properties
Its crystal system is orthorhombic. The value obtained for the formation energy from raw total energies is -2015 meV/atom. The total moment comes out at 0.000 μB/atom. For the electronic total energy, the calculation gives -6.76 eV per atom. The space group is Imma, No. 74.

***

Computed, not measured: a relaxed MoSe crystal at the PBE level of DFT.

abc: 3.126 3.126 9.740
angles: 90.00 90.00 120.00
Atoms (fractional coordinates):
Mo1 0.000 0.000 0.010
Mo2 0.667 0.333 0.240
Se1 0.000 0.000 0.420
Se2 0.667 0.333 0.830

## Properties
Its crystal system is trigonal. The value obtained for the formation energy from raw total energies is -274 meV/atom. Its relative energy among the computed polymorphs is 6 meV per atom. The total moment comes out at 0.000 μB/atom. For the electronic total energy, the calculation gives -7.43 eV per atom. The space group is P-3m1, No. 164.

***

Computed, not measured: a relaxed ZnInCl3 crystal at the PBE level of DFT.

abc: 4.592 4.592 16.676
angles: 90.00 90.00 120.00
Atoms (fractional coordinates):
Zn1 0.000 0.000 0.000
Zn2 0.000 0.000 0.500
Cl1 0.000 0.000 0.250
Cl2 0.000 0.000 0.750
Cl3 0.333 0.667 0.938
Cl4 0.333 0.667 0.562
Cl5 0.667 0.333 0.438
Cl6 0.667 0.333 0.062
In1 0.333 0.667 0.750
In2 0.667 0.333 0.250

## Properties
Its crystal system is hexagonal. The value obtained for the formation energy from raw total energies is -545 meV/atom. Its relative energy among the computed polymorphs is 480 meV per atom. The total moment comes out at 0.000 μB/atom. For the electronic total energy, the calculation gives -2.46 eV per atom. The space group is P6_3/mmc, No. 194.